(1)
Below is a geometry-optimized SrZnSnAu2 structure, with properties calculated at the PBE-GGA level.

abc: 4.4525 4.4525 12.0821
angles: 90.00 90.00 90.00
Space group I-4m2 (No. 119)
Symmetry-distinct sites (fractional):
Sr 0.0000 0.0000 0.0000 x2
Zn 0.0000 0.5000 0.2500 x2
Sn 0.0000 0.5000 0.7500 x2
Au 0.0000 0.0000 0.3856 x4

Results
The value obtained for the formation energy is -50 kJ/mol of atoms.

---

(2)
Below is a geometry-optimized Tl5Pd structure, with properties calculated at the PBE-GGA level.

abc: 4.5891 14.4393 4.8900
angles: 90.00 90.00 90.00
Space group Cmmm (No. 65)
Symmetry-distinct sites (fractional):
Tl 0.0000 0.0000 0.0000 x2
Tl 0.0000 0.1481 0.5000 x4
Tl 0.0000 0.3399 0.0000 x4
Pd 0.0000 0.5000 0.5000 x2

Results
The value obtained for the formation energy is 5 kJ/mol of atoms.

---

(3)
Below is a geometry-optimized MoHRu2 structure, with properties calculated at the PBE-GGA level.

abc: 4.8754 8.4132 4.4393
angles: 90.00 90.23 90.00
Space group Cm (No. 8)
Symmetry-distinct sites (fractional):
Mo 0.0000 0.1638 0.0000 x4
H 0.1640 0.3324 0.2720 x4
Ru 0.3268 0.1641 0.5203 x4
Ru 0.3344 0.5000 0.5199 x2
Ru 0.4928 0.0000 0.0033 x2

Results
The calculation puts the total energy at -8.21 eV per atom.

---

(4)
Below is a geometry-optimized Al2BMo structure, with properties calculated at the PBE-GGA level.

abc: 6.9433 6.9433 4.5775
angles: 90.00 90.00 90.00
Space group I-42d (No. 122)
Symmetry-distinct sites (fractional):
Al 0.1627 0.7500 0.1250 x8
B 0.0000 0.0000 0.0000 x4
Mo 0.0000 0.0000 0.5000 x4

Results
The value obtained for the formation energy is 24 kJ/mol of atoms.

---

(5)
Below is a geometry-optimized MgPaTlO6 structure, with properties calculated at the PBE-GGA level.

abc: 5.4913 5.4913 4.7773
angles: 90.00 90.00 120.00
Space group P312 (No. 149)
Symmetry-distinct sites (fractional):
Mg 0.0000 0.0000 0.0000 x1
Pa 0.6667 0.3333 0.5000 x1
Tl 0.3333 0.6667 0.0000 x1
O 0.3297 0.0157 0.2428 x6

Results
The calculation puts the total energy at -6.70 eV per atom.

---

(6)
Below is a geometry-optimized Dy2ZnPd structure, with properties calculated at the PBE-GGA level.

abc: 3.3250 3.3250 29.9968
angles: 90.00 90.00 120.00
Space group R-3m (No. 166, hexagonal axes)
Symmetry-distinct sites (fractional):
Dy 0.0000 0.0000 0.0880 x6
Zn 0.0000 0.0000 0.5000 x3
Pd 0.0000 0.0000 0.0000 x3

Results
The value obtained for the formation energy is -1 kJ/mol of atoms.

---

(7)
Below is a geometry-optimized Pm3CdCu2 structure, with properties calculated at the PBE-GGA level.

abc: 3.5946 3.5946 11.3475
angles: 90.00 90.00 90.00
Space group P4/mmm (No. 123)
Symmetry-distinct sites (fractional):
Pm 0.0000 0.0000 0.0000 x1
Pm 0.0000 0.0000 0.3107 x2
Cd 0.5000 0.5000 0.5000 x1
Cu 0.5000 0.5000 0.1572 x2

Results
The value obtained for the formation energy is -20 kJ/mol of atoms.

---

(8)
Below is a geometry-optimized SmEr2Hg structure, with properties calculated at the PBE-GGA level.

abc: 3.5964 3.5964 8.8951
angles: 90.00 90.00 90.00
Space group P4/mmm (No. 123)
Symmetry-distinct sites (fractional):
Sm 0.0000 0.0000 0.0000 x1
Er 0.5000 0.5000 0.2813 x2
Hg 0.0000 0.0000 0.5000 x1

Results
The value obtained for the formation energy is -23 kJ/mol of atoms.

---

(9)
Below is a geometry-optimized RbCoAsSe2 structure, with properties calculated at the PBE-GGA level.

abc: 5.7986 5.7986 5.6113
angles: 90.00 90.00 90.00
Space group P4/mmm (No. 123)
Symmetry-distinct sites (fractional):
Rb 0.0000 0.0000 0.0000 x1
Co 0.5000 0.5000 0.5000 x1
As 0.0000 0.0000 0.5000 x1
Se 0.0000 0.5000 0.0000 x2

Results
The calculation puts the total energy at -2.09 eV per atom.

---

(10)
Below is a geometry-optimized Pr3Al2SiPt9 structure, with properties calculated at the PBE-GGA level.

abc: 6.6053 6.6053 8.3887
angles: 90.00 90.00 120.00
Space group P-3m1 (No. 164)
Symmetry-distinct sites (fractional):
Pr 0.0000 0.0000 0.0000 x1
Pr 0.3333 0.6667 0.6927 x2
Al 0.3333 0.6667 0.1928 x2
Si 0.0000 0.0000 0.5000 x1
Pt 0.0000 0.5000 0.0000 x3
Pt 0.1407 0.2814 0.2920 x6

Results
The calculation puts the total energy at -6.17 eV per atom.

---

(11)
Below is a geometry-optimized ZnCoCl2 structure, with properties calculated at the PBE-GGA level.

abc: 9.2912 3.1340 7.1653
angles: 90.00 113.83 90.00
Space group Cm (No. 8)
Symmetry-distinct sites (fractional):
Zn 0.0000 0.0000 0.0000 x2
Co 0.2589 0.0000 0.8902 x2
Cl 0.1161 0.5000 0.6596 x2
Cl 0.2329 0.5000 0.1727 x2

Results
The calculation puts the total energy at -3.19 eV per atom.

---

(12)
Below is a geometry-optimized SrCd2Ga structure, with properties calculated at the PBE-GGA level.

abc: 5.1209 5.1209 19.1447
angles: 90.00 90.00 90.00
Space group I-42d (No. 122)
Symmetry-distinct sites (fractional):
Sr 0.0000 0.0000 0.0000 x4
Cd 0.1151 0.2500 0.6250 x8
Ga 0.0000 0.0000 0.5000 x4

Results
The value obtained for the formation energy is -6 kJ/mol of atoms.

---

(13)
Below is a geometry-optimized Dy2NbSe4 structure, with properties calculated at the PBE-GGA level.

abc: 14.3306 3.9627 7.2090
angles: 90.00 119.71 90.00
Space group C2/m (No. 12)
Symmetry-distinct sites (fractional):
Dy 0.2375 0.0000 0.2234 x4
Nb 0.0000 0.5000 0.5000 x2
Se 0.1118 0.5000 0.9261 x4
Se 0.1229 0.0000 0.4672 x4

Results
The calculation puts the total energy at -6.12 eV per atom.

---

(14)
Below is a geometry-optimized CsKHg2I6 structure, with properties calculated at the PBE-GGA level.

abc: 11.3777 18.2742 11.3793
angles: 90.00 113.53 90.00
Space group C2/c (No. 15)
Symmetry-distinct sites (fractional):
Cs 0.0000 0.1988 0.2500 x4
K 0.0000 0.3459 0.7500 x4
Hg 0.2049 0.4227 0.2729 x8
I 0.0181 0.3920 0.4441 x8
I 0.1488 0.2035 0.6337 x8
I 0.2034 0.0587 0.1314 x8

Results
The calculation puts the total energy at -1.96 eV per atom.

---

(15)
Below is a geometry-optimized SbTeAu2 structure, with properties calculated at the PBE-GGA level.

abc: 3.8676 5.9669 8.4295
angles: 90.00 90.00 90.00
Space group Cmmm (No. 65)
Symmetry-distinct sites (fractional):
Sb 0.0000 0.0000 0.0000 x2
Te 0.0000 0.0000 0.5000 x2
Au 0.0000 0.5000 0.2454 x4

Results
The calculation puts the total energy at -3.26 eV per atom.

---

(16)
Below is a geometry-optimized Li2SbTe structure, with properties calculated at the PBE-GGA level.

abc: 4.3908 4.8755 8.4223
angles: 90.00 90.00 90.00
Space group Cmmm (No. 65)
Symmetry-distinct sites (fractional):
Li 0.0000 0.0000 0.2471 x4
Sb 0.0000 0.5000 0.0000 x2
Te 0.0000 0.5000 0.5000 x2

Results
The calculation puts the total energy at -3.26 eV per atom.

---

(17)
Below is a geometry-optimized Si3Rh2 structure, with properties calculated at the PBE-GGA level.

abc: 5.8169 5.8169 16.8861
angles: 90.00 90.00 120.00
Space group R-3c (No. 167, hexagonal axes)
Symmetry-distinct sites (fractional):
Si 0.0000 0.3511 0.2500 x18
Rh 0.0000 0.0000 0.1666 x12

Results
The calculation puts the total energy at -6.57 eV per atom.

---

(18)
Below is a geometry-optimized La2Tb5Pm6 structure, with properties calculated at the PBE-GGA level.

abc: 11.8960 20.6261 3.6595
angles: 90.00 90.00 90.00
Space group Pbam (No. 55)
Symmetry-distinct sites (fractional):
La 0.1688 0.2184 0.0000 x4
Tb 0.0000 0.5000 0.5000 x2
Tb 0.0925 0.7800 0.5000 x4
Tb 0.1998 0.0551 0.5000 x4
Pm 0.0601 0.9241 0.0000 x4
Pm 0.0781 0.6363 0.0000 x4
Pm 0.1790 0.3753 0.5000 x4

Results
The value obtained for the formation energy is 9 kJ/mol of atoms.

---

(19)
Below is a geometry-optimized Tl4SnBi3Se8 structure, with properties calculated at the PBE-GGA level.

abc: 14.8310 8.5637 9.0753
angles: 90.00 123.02 90.00
Space group C2/m (No. 12)
Symmetry-distinct sites (fractional):
Tl 0.0000 0.0000 0.0000 x2
Tl 0.0000 0.5000 0.0000 x2
Tl 0.2500 0.2500 0.0000 x4
Sn 0.0000 0.0000 0.5000 x2
Bi 0.0000 0.5000 0.5000 x2
Bi 0.2500 0.2500 0.5000 x4
Se 0.0101 0.2467 0.2843 x8
Se 0.2356 0.0000 0.7153 x4
Se 0.2397 0.5000 0.7180 x4

Results
The calculation puts the total energy at -3.75 eV per atom.

---

(20)
Below is a geometry-optimized LaBeCdPt2 structure, with properties calculated at the PBE-GGA level.

abc: 4.6147 4.6147 4.5401
angles: 90.00 90.00 90.00
Space group P4/mmm (No. 123)
Symmetry-distinct sites (fractional):
La 0.0000 0.0000 0.0000 x1
Be 0.5000 0.5000 0.5000 x1
Cd 0.5000 0.5000 0.0000 x1
Pt 0.0000 0.5000 0.5000 x2

Results
The value obtained for the formation energy is -51 kJ/mol of atoms.

---

How do the records compare in Fermi-level density of states? In the order shown, they have 0.48 0.46 0.87 0.69 0.78 1.03 1.03 1.01 1.86 0.31 0.65 0.48 0.56 0.00 0.60 0.42 0.61 1.26 0.32 0.38 states/eV/atom.
How do the records compare in total magnetic moment? In the order shown, they have 0.00 0.00 0.00 0.00 2.05 0.00 0.04 0.00 3.94 0.00 2.25 0.00 1.14 0.00 0.00 0.00 0.00 0.00 0.00 0.00 μB per formula unit.